Entry 1:
# PaPd6Au4

A relaxed structure of PaPd6Au4 (GGA-PBE, Alexandria).

Properties
- D(E_F): 0.37 states/eV per atom
- Total magnetization: 0.00 μB/cell
- Space group: C2/c (15)
- Uncorrected energy: -114.35 eV for the cell shown
- Calculated formation energy: -310 meV per atom

Cell: 4.9357 5.0050 20.6333 Å, 77.34 116.38 119.54°
Last column: nearest neighbours and their distance in Å.
Fractional positions:
Pa 0.6412 0.2824 0.2500  7 Pd 2.66-2.89
Pa 0.3588 0.7176 0.7500  7 Pd 2.66-2.89
Pd 0.5000 0.0000 0.0000  8 Au 2.83-2.92, 4 Pd 2.91-2.97
Pd 0.5000 0.0000 0.5000  8 Au 2.83-2.92, 4 Pd 2.91-2.97
Pd 0.9188 0.0001 0.3657  1 Pa 2.66, 4 Au 2.80-2.98, 5 Pd 2.82-2.97
Pd 0.0812 0.9999 0.6343  1 Pa 2.66, 4 Au 2.80-2.98, 5 Pd 2.82-2.97
Pd 0.9187 0.9999 0.8657  1 Pa 2.66, 4 Au 2.80-2.98, 5 Pd 2.82-2.97
Pd 0.0813 0.0001 0.1343  1 Pa 2.66, 4 Au 2.80-2.98, 5 Pd 2.82-2.97
Pd 0.5841 0.3334 0.3702  1 Pa 2.70, 5 Pd 2.74-2.91, 5 Au 2.83-2.94
Pd 0.4159 0.6666 0.6298  1 Pa 2.70, 5 Pd 2.74-2.91, 5 Au 2.83-2.94
Pd 0.2507 0.6666 0.8702  1 Pa 2.70, 5 Pd 2.74-2.91, 5 Au 2.83-2.94
Pd 0.7493 0.3334 0.1298  1 Pa 2.70, 5 Pd 2.74-2.91, 5 Au 2.83-2.94
Pd 0.3141 0.6282 0.2500  2 Au 2.74, 4 Pd 2.74-2.87, 3 Pa 2.85-2.89
Pd 0.6859 0.3718 0.7500  2 Au 2.74, 4 Pd 2.74-2.87, 3 Pa 2.85-2.89
Au 0.8413 0.6716 0.5012  7 Pd 2.84-3.00, 5 Au 2.86-2.91
Au 0.4172 0.6843 0.1268  8 Pd 2.74-2.98, 2 Au 2.91, 1 Pa 3.03
Au 0.1587 0.3284 0.4988  7 Pd 2.84-3.00, 5 Au 2.86-2.91
Au 0.5828 0.3157 0.8732  8 Pd 2.74-2.98, 2 Au 2.91, 1 Pa 3.03
Au 0.8303 0.6716 0.9988  7 Pd 2.84-3.00, 5 Au 2.86-2.91
Au 0.1697 0.3284 0.0012  7 Pd 2.84-3.00, 5 Au 2.86-2.91
Au 0.7330 0.3157 0.6268  8 Pd 2.74-2.98, 2 Au 2.91, 1 Pa 3.03
Au 0.2670 0.6843 0.3732  8 Pd 2.74-2.98, 2 Au 2.91, 1 Pa 3.03

***

Entry 2:
# FeCo2Mo

A relaxed structure of FeCo2Mo (GGA-PBE, Alexandria).

Properties
- D(E_F): 0.49 states/eV per atom
- Total magnetization: 5.14 μB/cell
- Relative energy among the computed polymorphs: 2.1 kJ per mole of atoms
- Space group: P4/mmm (123)
- Uncorrected energy: -33.36 eV for the cell shown
- Calculated formation energy: 37 meV per atom

Cell: 2.7590 2.7590 6.4517 Å, 90.00 90.00 90.00°
Last column: nearest neighbours and their distance in Å.
Fractional positions:
Mo 0.5000 0.5000 0.5000  8 Co 2.66, 4 Mo 2.76
Co 0.0000 0.0000 0.7799  4 Fe 2.41, 4 Mo 2.66
Co 0.0000 0.0000 0.2201  4 Fe 2.41, 4 Mo 2.66
Fe 0.5000 0.5000 0.0000  8 Co 2.41

***

Entry 3:
# TbSm2Pt

A relaxed structure of TbSm2Pt (GGA-PBE, Alexandria).

Properties
- D(E_F): 1.17 states/eV per atom
- Total magnetization: 0.00 μB/cell
- Relative energy among the computed polymorphs: 20.0 kJ per mole of atoms
- Space group: R3m (160)
- Uncorrected energy: -21.95 eV for the cell shown
- Calculated formation energy: -461 meV per atom

Cell: 3.9688 3.9688 9.4621 Å, 77.89 77.89 60.00°
Last column: nearest neighbours and their distance in Å.
Fractional positions:
Tb 0.5011 0.5011 0.4968  6 Sm 3.65-3.71, 6 Tb 3.97
Sm 0.0619 0.0619 0.8143  3 Pt 2.87
Sm 0.2711 0.2711 0.1868  3 Pt 2.85
Pt 0.6660 0.6660 0.0021  6 Sm 2.85-2.87

***

Entry 4:
# PrSe2

A relaxed structure of PrSe2 (GGA-PBE, Alexandria).

Properties
- D(E_F): 0.12 states/eV per atom
- Total magnetization: 0.00 μB/cell
- E_form (uncorrected): -1627 meV per atom
- Space group: P-4b2 (117)
- Uncorrected energy: -133.04 eV for the cell shown

Cell: 8.4162 8.4162 8.6416 Å, 90.00 90.00 90.00°
Last column: nearest neighbours and their distance in Å.
Fractional positions:
Pr 0.2504 0.4921 0.7257  9 Se 3.03-3.25
Pr 0.2496 0.9921 0.7257  9 Se 3.03-3.25
Pr 0.7496 0.5079 0.7257  9 Se 3.03-3.25
Pr 0.7504 0.0079 0.7257  9 Se 3.03-3.25
Pr 0.5079 0.2504 0.2743  9 Se 3.03-3.25
Pr 0.9921 0.7504 0.2743  9 Se 3.03-3.25
Pr 0.4921 0.7496 0.2743  9 Se 3.03-3.25
Pr 0.0079 0.2496 0.2743  9 Se 3.03-3.25
Se 0.5017 0.2501 0.6322  5 Pr 3.03-3.14
Se 0.9983 0.7501 0.6322  5 Pr 3.03-3.14
Se 0.4983 0.7499 0.6322  5 Pr 3.03-3.14
Se 0.0017 0.2499 0.6322  5 Pr 3.03-3.14
Se 0.7499 0.5017 0.3678  5 Pr 3.03-3.14
Se 0.7501 0.0017 0.3678  5 Pr 3.03-3.14
Se 0.2501 0.4983 0.3678  5 Pr 3.03-3.14
Se 0.2499 0.9983 0.3678  5 Pr 3.03-3.14
Se 0.2282 0.7282 0.0000  3 Se 2.72-2.99
Se 0.2718 0.2282 0.0000  3 Se 2.72-2.99
Se 0.7718 0.2718 0.0000  3 Se 2.72-2.99
Se 0.7282 0.7718 0.0000  3 Se 2.72-2.99
Se 0.0000 0.5000 0.0000  2 Se 2.72
Se 0.5000 0.0000 0.0000  2 Se 2.72
Se 0.5000 0.5000 0.0000  4 Se 2.99, 4 Pr 3.17
Se 0.0000 0.0000 0.0000  4 Se 2.99, 4 Pr 3.17

***

Entry 5:
# Fe4Ni12Rh

A relaxed structure of Fe4Ni12Rh (GGA-PBE, Alexandria).

Properties
- D(E_F): 1.15 states/eV per atom
- Total magnetization: 20.74 μB/cell
- Space group: Im-3m (229)
- Uncorrected energy: -106.85 eV for the cell shown
- Calculated formation energy: 219 meV per atom

Cell: 6.4519 6.4519 6.4519 Å, 109.47 109.47 109.47°
Last column: nearest neighbours and their distance in Å.
Fractional positions:
Fe 0.0000 0.0000 0.5000  12 Ni 2.63-2.67
Fe 0.5000 0.0000 0.0000  12 Ni 2.63-2.67
Fe 0.5000 0.5000 0.5000  12 Ni 2.63-2.67
Fe 0.0000 0.5000 0.0000  12 Ni 2.63-2.67
Ni 0.0000 0.3092 0.3092  1 Rh 2.30, 4 Ni 2.34
Ni 0.0000 0.6908 0.6908  1 Rh 2.30, 4 Ni 2.34
Ni 0.6908 0.6908 0.0000  1 Rh 2.30, 4 Ni 2.34
Ni 0.3092 0.3092 0.0000  1 Rh 2.30, 4 Ni 2.34
Ni 0.3092 0.0000 0.3092  1 Rh 2.30, 4 Ni 2.34
Ni 0.6908 0.0000 0.6908  1 Rh 2.30, 4 Ni 2.34
Ni 0.5000 0.2500 0.7500  4 Ni 2.34
Ni 0.5000 0.7500 0.2500  4 Ni 2.34
Ni 0.7500 0.2500 0.5000  4 Ni 2.34
Ni 0.2500 0.7500 0.5000  4 Ni 2.34
Ni 0.7500 0.5000 0.2500  4 Ni 2.34
Ni 0.2500 0.5000 0.7500  4 Ni 2.34
Rh 0.0000 0.0000 0.0000  6 Ni 2.30

***

Entry 6:
# Fe3PdRu

A relaxed structure of Fe3PdRu (GGA-PBE, Alexandria).

Properties
- D(E_F): 2.09 states/eV per atom
- Total magnetization: 9.40 μB/cell
- Relative energy among the computed polymorphs: 0.0 kJ per mole of atoms
- Space group: Pm-3m (221)
- Uncorrected energy: -33.00 eV for the cell shown
- Calculated formation energy: 1371 meV per atom

Cell: 4.4970 4.4970 4.4970 Å, 90.00 90.00 90.00°
Last column: nearest neighbours and their distance in Å.
Fractional positions:
Ru 0.0000 0.0000 0.0000  6 Fe 2.25
Fe 0.0000 0.5000 0.0000  2 Ru 2.25
Fe 0.0000 0.0000 0.5000  2 Ru 2.25
Fe 0.5000 0.0000 0.0000  2 Ru 2.25
Pd 0.5000 0.5000 0.5000  12 Fe 3.18

***

Entry 7:
# LiMnNb2

A relaxed structure of LiMnNb2 (GGA-PBE, Alexandria).

Properties
- D(E_F): 0.73 states/eV per atom
- Total magnetization: 0.00 μB/cell
- Relative energy among the computed polymorphs: 0.0 kJ per mole of atoms
- Space group: Fm-3m (225)
- Uncorrected energy: -30.50 eV for the cell shown
- Calculated formation energy: 181 meV per atom

Cell: 4.3710 4.3710 4.3710 Å, 60.00 60.00 60.00°
Last column: nearest neighbours and their distance in Å.
Fractional positions:
Nb 0.2500 0.2500 0.2500  4 Mn 2.68, 4 Li 2.68
Nb 0.7500 0.7500 0.7500  4 Mn 2.68, 4 Li 2.68
Mn 0.5000 0.5000 0.5000  8 Nb 2.68
Li 0.0000 0.0000 0.0000  8 Nb 2.68

***

Entry 8:
# Ho2Sn4Pb

A relaxed structure of Ho2Sn4Pb (GGA-PBE, Alexandria).

Properties
- D(E_F): 0.57 states/eV per atom
- Total magnetization: 0.00 μB/cell
- Space group: C2/m (12)
- Uncorrected energy: -31.18 eV for the cell shown
- Calculated formation energy: -330 meV per atom

Cell: 6.5970 6.5970 6.5828 Å, 120.18 120.18 90.22°
Last column: nearest neighbours and their distance in Å.
Fractional positions:
Ho 0.2858 0.7856 0.5714  8 Sn 3.27-3.29, 2 Pb 3.30
Ho 0.7856 0.2858 0.5714  8 Sn 3.27-3.29, 2 Pb 3.30
Sn 0.7859 0.7859 0.0716  4 Ho 3.29, 2 Pb 3.29, 4 Sn 3.30
Sn 0.2857 0.2857 0.0712  2 Pb 3.27, 4 Ho 3.29, 4 Sn 3.30
Sn 0.7856 0.2857 0.0714  4 Ho 3.27-3.29, 2 Pb 3.29, 4 Sn 3.30
Sn 0.2857 0.7856 0.0714  4 Ho 3.27-3.29, 2 Pb 3.29, 4 Sn 3.30
Pb 0.7858 0.7858 0.5716  8 Sn 3.27-3.29, 4 Ho 3.30

***

Please write out number 5 again, unchanged.
# Fe4Ni12Rh

A relaxed structure of Fe4Ni12Rh (GGA-PBE, Alexandria).

Properties
- D(E_F): 1.15 states/eV per atom
- Total magnetization: 20.74 μB/cell
- Space group: Im-3m (229)
- Uncorrected energy: -106.85 eV for the cell shown
- Calculated formation energy: 219 meV per atom

Cell: 6.4519 6.4519 6.4519 Å, 109.47 109.47 109.47°
Last column: nearest neighbours and their distance in Å.
Fractional positions:
Fe 0.0000 0.0000 0.5000  12 Ni 2.63-2.67
Fe 0.5000 0.0000 0.0000  12 Ni 2.63-2.67
Fe 0.5000 0.5000 0.5000  12 Ni 2.63-2.67
Fe 0.0000 0.5000 0.0000  12 Ni 2.63-2.67
Ni 0.0000 0.3092 0.3092  1 Rh 2.30, 4 Ni 2.34
Ni 0.0000 0.6908 0.6908  1 Rh 2.30, 4 Ni 2.34
Ni 0.6908 0.6908 0.0000  1 Rh 2.30, 4 Ni 2.34
Ni 0.3092 0.3092 0.0000  1 Rh 2.30, 4 Ni 2.34
Ni 0.3092 0.0000 0.3092  1 Rh 2.30, 4 Ni 2.34
Ni 0.6908 0.0000 0.6908  1 Rh 2.30, 4 Ni 2.34
Ni 0.5000 0.2500 0.7500  4 Ni 2.34
Ni 0.5000 0.7500 0.2500  4 Ni 2.34
Ni 0.7500 0.2500 0.5000  4 Ni 2.34
Ni 0.2500 0.7500 0.5000  4 Ni 2.34
Ni 0.7500 0.5000 0.2500  4 Ni 2.34
Ni 0.2500 0.5000 0.7500  4 Ni 2.34
Rh 0.0000 0.0000 0.0000  6 Ni 2.30

***

The lowest uncorrected energy belongs to which entry? PrSe2

***

Copy entry 3 word for word.
# TbSm2Pt

A relaxed structure of TbSm2Pt (GGA-PBE, Alexandria).

Properties
- D(E_F): 1.17 states/eV per atom
- Total magnetization: 0.00 μB/cell
- Relative energy among the computed polymorphs: 20.0 kJ per mole of atoms
- Space group: R3m (160)
- Uncorrected energy: -21.95 eV for the cell shown
- Calculated formation energy: -461 meV per atom

Cell: 3.9688 3.9688 9.4621 Å, 77.89 77.89 60.00°
Last column: nearest neighbours and their distance in Å.
Fractional positions:
Tb 0.5011 0.5011 0.4968  6 Sm 3.65-3.71, 6 Tb 3.97
Sm 0.0619 0.0619 0.8143  3 Pt 2.87
Sm 0.2711 0.2711 0.1868  3 Pt 2.85
Pt 0.6660 0.6660 0.0021  6 Sm 2.85-2.87